The following is a PBE calculation of a relaxed Pr6BiSb2As3 crystal, from Alexandria via LeMat-Bulk. Values from VASP.

```
&SYSTEM
  ibrav = 0, nat = 12, ntyp = 4
/
ATOMIC_SPECIES
Pr 140.91 Pr.upf
As 74.92 As.upf
Bi 208.98 Bi.upf
Sb 121.76 Sb.upf
CELL_PARAMETERS angstrom
4.4301 0.0000 0.0000
0.0000 8.9198 0.2669
-2.2151 -2.6281 9.3516
ATOMIC_POSITIONS angstrom
Pr 2.2150 4.4170 3.2185
Pr 0.0000 6.5555 0.2657
Pr 2.2151 -0.2303 3.2342
Pr 0.0000 6.5219 6.3843
Pr 0.0000 1.8746 6.4000
Pr 2.2151 -0.2638 9.3528
As 2.2151 4.4599 0.1334
As 0.0000 6.5533 3.3368
As 2.2151 -0.2616 6.2817
Bi 2.2151 0.0000 0.0000
Sb 0.0000 2.0947 3.2020
Sb 2.2151 4.1970 6.4165
```

Summary:
- ΔE_f (raw) (eV/f.u.) = -15.50
- symmetry = No. 12

=====

The following is a PBE calculation of a relaxed Ac2Al3Cu2 crystal, from Alexandria via LeMat-Bulk. Values from VASP.

```
&SYSTEM
  ibrav = 0, nat = 14, ntyp = 3
/
ATOMIC_SPECIES
Al 26.98 Al.upf
Cu 63.55 Cu.upf
Ac 227.00 Ac.upf
CELL_PARAMETERS angstrom
-0.1508 -4.6627 0.4231
2.2220 0.5505 6.8584
-9.2194 2.9010 2.7540
ATOMIC_POSITIONS angstrom
Al -6.0872 1.0101 8.9627
Al -2.4413 0.6646 6.4544
Al -0.2711 -2.0256 3.5108
Al -4.7069 -1.8758 3.5811
Al -6.8771 0.8144 6.5247
Al -1.0610 -2.2213 1.0728
Cu -2.1915 -1.8076 5.2290
Cu -1.4086 -1.6137 7.6457
Cu -4.9567 0.5964 4.8065
Cu -5.7396 0.4024 2.3899
Ac -2.5261 0.3265 2.6978
Ac -7.7918 -1.6868 4.5654
Ac 0.6436 0.4755 5.4702
Ac -4.6221 -1.5377 7.3377
```

Summary:
- energy relative to the elements (eV/f.u.) = -1.530
- symmetry = No. 63
- offset from the most stable computed form (eV per atom) = 0.0452

=====

The following is a PBE calculation of a relaxed Sc2OsCl crystal, from Alexandria via LeMat-Bulk. Values from VASP.

```
&SYSTEM
  ibrav = 0, nat = 4, ntyp = 3
/
ATOMIC_SPECIES
Sc 44.96 Sc.upf
Cl 35.45 Cl.upf
Os 190.23 Os.upf
CELL_PARAMETERS angstrom
-1.7157 0.0737 -7.5234
-5.3646 -1.7900 -5.2505
2.4989 2.9355 6.6850
ATOMIC_POSITIONS angstrom
Sc -6.6061 -1.6013 -11.9184
Sc -2.9433 0.2066 -2.0078
Cl -3.9026 -0.9460 -7.0409
Os -1.7499 0.9855 -4.2828
```

Summary:
- ΔE_f (raw) (eV/f.u.) = -2.58
- symmetry = No. 44
- offset from the most stable computed form (eV per atom) = 0.2997

=====

The following is a PBE calculation of a relaxed Dy6Ho3Er crystal, from Alexandria via LeMat-Bulk. Values from VASP.

```
&SYSTEM
  ibrav = 0, nat = 20, ntyp = 3
/
ATOMIC_SPECIES
Er 167.26 Er.upf
Dy 162.50 Dy.upf
Ho 164.93 Ho.upf
CELL_PARAMETERS angstrom
6.3141 0.0000 0.0000
0.0000 9.9610 -5.6507
0.0000 -2.2007 11.2387
ATOMIC_POSITIONS angstrom
Er 0.1003 -0.2458 8.5240
Er 3.2573 8.0062 -2.9360
Dy 3.5843 4.5582 4.8287
Dy 1.8208 6.3011 -0.5680
Dy 2.0225 9.7750 -5.3923
Dy 2.0685 2.5844 7.4771
Dy 0.4273 6.0249 2.7919
Dy 2.0685 -0.1504 5.5079
Dy 4.9779 1.4593 6.1561
Dy 5.2256 7.9108 0.0802
Dy 5.2256 5.1760 -1.8891
Dy 5.1796 -2.0146 10.9804
Dy 0.4273 3.2022 0.7593
Dy 3.5843 1.7355 2.7962
Ho 0.5801 2.9043 4.1493
Ho 6.2458 4.9092 6.7872
Ho 3.0887 2.8512 -1.1992
Ho 3.0887 7.9936 2.5038
Ho 3.7372 4.8561 1.4387
Ho 6.2458 -0.2332 3.0843
```

Summary:
- energy relative to the elements (eV/f.u.) = 1.245
- symmetry = No. 36
- offset from the most stable computed form (eV per atom) = 0.0000

=====

The following is a PBE calculation of a relaxed YBi2Rh2 crystal, from Alexandria via LeMat-Bulk. Values from VASP.

```
&SYSTEM
  ibrav = 0, nat = 5, ntyp = 3
/
ATOMIC_SPECIES
Bi 208.98 Bi.upf
Rh 102.91 Rh.upf
Y 88.91 Y.upf
CELL_PARAMETERS angstrom
5.0253 0.0000 0.0000
0.0000 5.0253 0.0000
2.5127 2.5127 4.6765
ATOMIC_POSITIONS angstrom
Bi 2.5127 5.0253 2.3383
Bi 5.0253 2.5127 2.3383
Rh 5.0253 5.0253 3.3944
Rh 2.5127 2.5127 1.2821
Y 0.0000 0.0000 0.0000
```

Summary:
- energy relative to the elements (eV/f.u.) = -1.214
- symmetry = No. 139
- offset from the most stable computed form (eV per atom) = 0.2551

=====

The following is a PBE calculation of a relaxed AsPbF5 crystal, from Alexandria via LeMat-Bulk. Values from VASP.

```
&SYSTEM
  ibrav = 0, nat = 14, ntyp = 3
/
ATOMIC_SPECIES
F 19.00 F.upf
Pb 207.20 Pb.upf
As 74.92 As.upf
CELL_PARAMETERS angstrom
5.5895 0.1455 1.5467
1.0681 5.4884 1.5467
-0.0041 -0.0035 8.8429
ATOMIC_POSITIONS angstrom
F 2.5402 3.7285 6.2193
F 4.9755 0.4366 8.6552
F 5.1617 4.5538 3.3160
F 2.1257 4.0880 9.8830
F 4.3854 1.4219 5.4615
F 5.3429 4.3356 7.7374
F 1.6169 1.2765 3.7339
F 4.0994 1.8902 1.7979
F 1.5243 1.3817 8.1554
F 1.2557 4.8365 4.2338
Pb 3.2274 2.8780 3.8908
Pb 3.3702 2.7051 8.3123
As 5.5077 0.2724 10.3867
As 1.1817 5.3885 5.9653
```

Summary:
- ΔE_f (raw) (eV/f.u.) = -15.48
- symmetry = No. 9

=====

D(E_F), respectively: 1.97, 14.06, 2.38, 31.77, 6.20, 0.00 states/eV/cell.
Total energy, respectively: -5.854, -4.167, -7.079, -4.466, -6.029, -4.741 eV per atom.